(1)
# YbAl3C3 (PBE-GGA, relaxed)
# Fermi-level density of states   8.50 states/eV/f.u.
# ΔH_f (0 K)   -0.16 eV/atom
data_YbAl3C3
_chemical_formula_sum 'Yb2 Al6 C6'
_space_group_name_H-M_alt 'P 63/m m c'
_space_group_IT_number 194
_space_group_name_Hall '-P 6c 2c'
_cell_length_a 3.4209
_cell_length_b 3.4209
_cell_length_c 17.3196
_cell_angle_alpha 90.00
_cell_angle_beta 90.00
_cell_angle_gamma 120.00
loop_
_atom_site_label
_atom_site_fract_x
_atom_site_fract_y
_atom_site_fract_z
_atom_site_occupancy
Yb1 0.0000 0.0000 0.0000 1
Al1 0.3333 0.6667 0.1328 1
Al2 0.3333 0.6667 0.7500 1
C1 0.3333 0.6667 0.2500 1
C2 0.3333 0.6667 0.5940 1

=====

(2)
# SrHgPb2 (PBE-GGA, relaxed)
# Fermi-level density of states   2.38 states/eV/f.u.
# ΔH_f (0 K)   -0.24 eV/atom
data_SrHgPb2
_chemical_formula_sum 'Sr1 Hg1 Pb2'
_space_group_name_H-M_alt 'P 1 2/m 1'
_space_group_IT_number 10
_cell_length_a 3.741
_cell_length_b 5.534
_cell_length_c 6.254
_cell_angle_alpha 90.00
_cell_angle_beta 97.86
_cell_angle_gamma 90.00
loop_
_space_group_symop_operation_xyz
'x,y,z'
'-x,-y,-z'
'-x,y,-z'
'x,-y,z'
loop_
_atom_site_label
_atom_site_fract_x
_atom_site_fract_y
_atom_site_fract_z
_atom_site_occupancy
Sr1 0.000 0.000 0.000 1
Hg1 0.500 0.000 0.500 1
Pb1 0.343 0.500 0.734 1

=====

(3)
# Al2TeMo (PBE-GGA, relaxed)
# Fermi-level density of states   2.60 states/eV/f.u.
# Total DFT energy (no corrections)   -5.092 eV per atom
data_Al2TeMo
_chemical_formula_sum 'Al4 Te2 Mo2'
_space_group_name_H-M_alt 'C m m m'
_space_group_IT_number 65
_space_group_name_Hall '-C 2 2'
_cell_length_a 5.760
_cell_length_b 8.301
_cell_length_c 2.995
_cell_angle_alpha 90.00
_cell_angle_beta 90.00
_cell_angle_gamma 90.00
loop_
_atom_site_label
_atom_site_fract_x
_atom_site_fract_y
_atom_site_fract_z
_atom_site_occupancy
Al1 0.250 0.250 0.000 1
Te1 0.000 0.000 0.500 1
Mo1 0.000 0.500 0.500 1

=====

(4)
# AlCoCu2H (PBE-GGA, relaxed)
# Fermi-level density of states   2.10 states/eV/f.u.
# Distance to the lowest polymorph of the same formula   0.0 kJ per mole of atoms
data_AlCoCu2H
_chemical_formula_sum 'Al1 Co1 Cu2 H1'
_space_group_name_H-M_alt 'P 4/m m m'
_space_group_IT_number 123
_space_group_name_Hall '-P 4 2'
_cell_length_a 3.702
_cell_length_b 3.702
_cell_length_c 3.653
_cell_angle_alpha 90.00
_cell_angle_beta 90.00
_cell_angle_gamma 90.00
loop_
_atom_site_label
_atom_site_fract_x
_atom_site_fract_y
_atom_site_fract_z
_atom_site_occupancy
Al1 0.000 0.000 0.000 1
Co1 0.500 0.500 0.000 1
Cu1 0.000 0.500 0.500 1
H1 0.500 0.500 0.500 1

=====

(5)
# TbDyHoCu (PBE-GGA, relaxed)
# Fermi-level density of states   4.98 states/eV/f.u.
# ΔH_f (0 K)   -0.10 eV/atom
data_TbDyHoCu
_chemical_formula_sum 'Tb1 Dy1 Ho1 Cu1'
_space_group_name_H-M_alt 'P 4 m m'
_space_group_IT_number 99
_cell_length_a 3.490
_cell_length_b 3.490
_cell_length_c 8.626
_cell_angle_alpha 90.00
_cell_angle_beta 90.00
_cell_angle_gamma 90.00
loop_
_space_group_symop_operation_xyz
'x,y,z'
'-y,x,z'
'-x,-y,z'
'y,-x,z'
'-x,y,z'
'y,x,z'
'x,-y,z'
'-y,-x,z'
loop_
_atom_site_label
_atom_site_fract_x
_atom_site_fract_y
_atom_site_fract_z
_atom_site_occupancy
Tb1 0.000 0.000 0.000 1
Dy1 0.500 0.500 0.696 1
Ho1 0.500 0.500 0.302 1
Cu1 0.000 0.000 0.497 1

=====

(6)
# Pm3DyTm2Se6 (PBE-GGA, relaxed)
# Fermi-level density of states   5.08 states/eV/f.u.
# Total DFT energy (no corrections)   -5.828 eV per atom
data_Pm3DyTm2Se6
_chemical_formula_sum 'Pm6 Dy2 Tm4 Se12'
_space_group_name_H-M_alt 'C 1 2/m 1'
_space_group_IT_number 12
_cell_length_a 18.061
_cell_length_b 4.071
_cell_length_c 8.340
_cell_angle_alpha 90.00
_cell_angle_beta 105.02
_cell_angle_gamma 90.00
loop_
_space_group_symop_operation_xyz
'x,y,z'
'-x,-y,-z'
'-x,y,-z'
'x,-y,z'
'x+1/2,y+1/2,z'
'-x+1/2,-y+1/2,-z'
'-x+1/2,y+1/2,-z'
'x+1/2,-y+1/2,z'
loop_
_atom_site_label
_atom_site_fract_x
_atom_site_fract_y
_atom_site_fract_z
_atom_site_occupancy
Pm1 0.000 0.000 0.000 1
Pm2 0.165 0.500 0.333 1
Dy1 0.000 0.000 0.500 1
Tm1 0.166 0.500 0.832 1
Se1 0.004 0.500 0.744 1
Se2 0.165 0.000 0.594 1
Se3 0.171 0.000 0.073 1

=====

(7)
# K4RbAu3 (PBE-GGA, relaxed)
# Fermi-level density of states   3.61 states/eV/f.u.
# ΔH_f (0 K)   -0.22 eV/atom
data_K4RbAu3
_chemical_formula_sum 'K8 Rb2 Au6'
_space_group_name_H-M_alt 'C m m m'
_space_group_IT_number 65
_space_group_name_Hall '-C 2 2'
_cell_length_a 5.796
_cell_length_b 28.683
_cell_length_c 3.999
_cell_angle_alpha 90.00
_cell_angle_beta 90.00
_cell_angle_gamma 90.00
loop_
_atom_site_label
_atom_site_fract_x
_atom_site_fract_y
_atom_site_fract_z
_atom_site_occupancy
K1 0.000 0.101 0.000 1
K2 0.000 0.295 0.000 1
Rb1 0.000 0.500 0.000 1
Au1 0.000 0.000 0.500 1
Au2 0.000 0.197 0.500 1

=====

(8)
# Na6B11C (PBE-GGA, relaxed)
# Fermi-level density of states   8.13 states/eV/f.u.
# Distance to the lowest polymorph of the same formula   1.7 kJ per mole of atoms
# ΔH_f (0 K)   0.28 eV/atom
data_Na6B11C
_chemical_formula_sum 'Na6 B11 C1'
_space_group_name_H-M_alt 'P -6 m 2'
_space_group_IT_number 187
_space_group_name_Hall 'P -6 2'
_cell_length_a 2.9932
_cell_length_b 2.9932
_cell_length_c 25.8907
_cell_angle_alpha 90.00
_cell_angle_beta 90.00
_cell_angle_gamma 120.00
loop_
_atom_site_label
_atom_site_fract_x
_atom_site_fract_y
_atom_site_fract_z
_atom_site_occupancy
Na1 0.0000 0.0000 0.0814 1
Na2 0.0000 0.0000 0.2486 1
Na3 0.0000 0.0000 0.4163 1
B1 0.3333 0.6667 0.0000 1
B2 0.3333 0.6667 0.1651 1
B3 0.3333 0.6667 0.3326 1
B4 0.3333 0.6667 0.5000 1
B5 0.6667 0.3333 0.1651 1
B6 0.6667 0.3333 0.3326 1
B7 0.6667 0.3333 0.5000 1
C1 0.6667 0.3333 0.0000 1

=====

(9)
# NdSc7In4 (PBE-GGA, relaxed)
# Fermi-level density of states   13.02 states/eV/f.u.
# ΔH_f (0 K)   -0.08 eV/atom
data_NdSc7In4
_chemical_formula_sum 'Nd2 Sc14 In8'
_space_group_name_H-M_alt 'C 1 2/m 1'
_space_group_IT_number 12
_cell_length_a 13.515
_cell_length_b 5.308
_cell_length_c 10.336
_cell_angle_alpha 90.00
_cell_angle_beta 124.68
_cell_angle_gamma 90.00
loop_
_space_group_symop_operation_xyz
'x,y,z'
'-x,-y,-z'
'-x,y,-z'
'x,-y,z'
'x+1/2,y+1/2,z'
'-x+1/2,-y+1/2,-z'
'-x+1/2,y+1/2,-z'
'x+1/2,-y+1/2,z'
loop_
_atom_site_label
_atom_site_fract_x
_atom_site_fract_y
_atom_site_fract_z
_atom_site_occupancy
Nd1 0.000 0.000 0.000 1
Sc1 0.000 0.500 0.000 1
Sc2 0.058 0.000 0.387 1
Sc3 0.190 0.500 0.623 1
Sc4 0.217 0.000 0.872 1
In1 0.071 0.500 0.777 1
In2 0.187 0.500 0.330 1

=====

(10)
# NdMgAl2Au2 (PBE-GGA, relaxed)
# Fermi-level density of states   2.40 states/eV/f.u.
# ΔH_f (0 K)   -0.64 eV/atom
data_NdMgAl2Au2
_chemical_formula_sum 'Nd1 Mg1 Al2 Au2'
_space_group_name_H-M_alt 'P -3 m 1'
_space_group_IT_number 164
_space_group_name_Hall '-P 3 2"'
_cell_length_a 4.4688
_cell_length_b 4.4688
_cell_length_c 7.1620
_cell_angle_alpha 90.00
_cell_angle_beta 90.00
_cell_angle_gamma 120.00
loop_
_atom_site_label
_atom_site_fract_x
_atom_site_fract_y
_atom_site_fract_z
_atom_site_occupancy
Nd1 0.0000 0.0000 0.0000 1
Mg1 0.0000 0.0000 0.5000 1
Al1 0.3333 0.6667 0.7043 1
Au1 0.3333 0.6667 0.2943 1

=====

(11)
# Cs3CuB2S6 (PBE-GGA, relaxed)
# Fermi-level density of states   12.75 states/eV/f.u.
# Total DFT energy (no corrections)   -4.274 eV per atom
data_Cs3CuB2S6
_chemical_formula_sum 'Cs3 Cu1 B2 S6'
_space_group_name_H-M_alt 'P -3 m 1'
_space_group_IT_number 164
_space_group_name_Hall '-P 3 2"'
_cell_length_a 6.8152
_cell_length_b 6.8152
_cell_length_c 8.7701
_cell_angle_alpha 90.00
_cell_angle_beta 90.00
_cell_angle_gamma 120.00
loop_
_atom_site_label
_atom_site_fract_x
_atom_site_fract_y
_atom_site_fract_z
_atom_site_occupancy
Cs1 0.0000 0.0000 0.0000 1
Cs2 0.3333 0.6667 0.7130 1
Cu1 0.0000 0.0000 0.5000 1
B1 0.3333 0.6667 0.3335 1
S1 0.1784 0.3567 0.3219 1

=====

(12)
# TbCeDyTh (PBE-GGA, relaxed)
# Fermi-level density of states   7.79 states/eV/f.u.
# Distance to the lowest polymorph of the same formula   0.0 kJ per mole of atoms
# ΔH_f (0 K)   0.03 eV/atom
data_TbCeDyTh
_chemical_formula_sum 'Tb3 Ce3 Dy3 Th3'
_space_group_name_H-M_alt 'R 3 m'
_space_group_IT_number 160
_space_group_name_Hall 'R 3 -2"'
_cell_length_a 3.5478
_cell_length_b 3.5478
_cell_length_c 34.1681
_cell_angle_alpha 90.00
_cell_angle_beta 90.00
_cell_angle_gamma 120.00
loop_
_atom_site_label
_atom_site_fract_x
_atom_site_fract_y
_atom_site_fract_z
_atom_site_occupancy
Tb1 0.0000 0.0000 0.0000 1
Ce1 0.0000 0.0000 0.8314 1
Dy1 0.0000 0.0000 0.2480 1
Th1 0.0000 0.0000 0.4172 1

=====

(13)
# MnMo2Ru (PBE-GGA, relaxed)
# Fermi-level density of states   4.20 states/eV/f.u.
# Distance to the lowest polymorph of the same formula   5.9 kJ per mole of atoms
# ΔH_f (0 K)   0.13 eV/atom
data_MnMo2Ru
_chemical_formula_sum 'Mn2 Mo4 Ru2'
_space_group_name_H-M_alt 'C 1 2/m 1'
_space_group_IT_number 12
_cell_length_a 5.314
_cell_length_b 8.476
_cell_length_c 2.707
_cell_angle_alpha 90.00
_cell_angle_beta 106.18
_cell_angle_gamma 90.00
loop_
_space_group_symop_operation_xyz
'x,y,z'
'-x,-y,-z'
'-x,y,-z'
'x,-y,z'
'x+1/2,y+1/2,z'
'-x+1/2,-y+1/2,-z'
'-x+1/2,y+1/2,-z'
'x+1/2,-y+1/2,z'
loop_
_atom_site_label
_atom_site_fract_x
_atom_site_fract_y
_atom_site_fract_z
_atom_site_occupancy
Mn1 0.000 0.000 0.000 1
Mo1 0.250 0.250 0.500 1
Ru1 0.000 0.500 0.000 1

=====

(14)
# Ba2LiCl (PBE-GGA, relaxed)
# Fermi-level density of states   4.00 states/eV/f.u.
# Distance to the lowest polymorph of the same formula   5.1 kJ per mole of atoms
data_Ba2LiCl
_chemical_formula_sum 'Ba4 Li2 Cl2'
_space_group_name_H-M_alt 'C 1 2/m 1'
_space_group_IT_number 12
_cell_length_a 7.991
_cell_length_b 4.603
_cell_length_c 9.359
_cell_angle_alpha 90.00
_cell_angle_beta 106.45
_cell_angle_gamma 90.00
loop_
_space_group_symop_operation_xyz
'x,y,z'
'-x,-y,-z'
'-x,y,-z'
'x,-y,z'
'x+1/2,y+1/2,z'
'-x+1/2,-y+1/2,-z'
'-x+1/2,y+1/2,-z'
'x+1/2,-y+1/2,z'
loop_
_atom_site_label
_atom_site_fract_x
_atom_site_fract_y
_atom_site_fract_z
_atom_site_occupancy
Ba1 0.243 0.000 0.230 1
Li1 0.000 0.000 0.500 1
Cl1 0.000 0.500 0.000 1

=====

(15)
# Ca8Zn4Si3Ge5O28 (PBE-GGA, relaxed)
# Fermi-level density of states   0.00 states/eV/f.u.
# Total DFT energy (no corrections)   -6.545 eV per atom
data_Ca8Zn4Si3Ge5O28
_chemical_formula_sum 'Ca8 Zn4 Si3 Ge5 O28'
_space_group_name_H-M_alt 'P 1'
_space_group_IT_number 1
_cell_length_a 8.075
_cell_length_b 9.131
_cell_length_c 9.512
_cell_angle_alpha 66.56
_cell_angle_beta 89.89
_cell_angle_gamma 89.99
loop_
_space_group_symop_operation_xyz
'x,y,z'
loop_
_atom_site_label
_atom_site_fract_x
_atom_site_fract_y
_atom_site_fract_z
_atom_site_occupancy
Ca1 0.000 0.000 0.000 1
Ca2 0.067 0.498 0.502 1
Ca3 0.197 0.749 0.737 1
Ca4 0.371 0.347 0.323 1
Ca5 0.499 0.588 0.563 1
Ca6 0.569 0.094 0.060 1
Ca7 0.698 0.839 0.832 1
Ca8 0.873 0.249 0.238 1
Zn1 0.190 0.376 0.919 1
Zn2 0.379 0.716 0.147 1
Zn3 0.692 0.216 0.648 1
Zn4 0.882 0.875 0.416 1
Si1 0.010 0.073 0.614 1
Si2 0.058 0.574 0.114 1
Si3 0.510 0.517 0.950 1
Ge1 0.241 0.918 0.324 1
Ge2 0.325 0.173 0.738 1
Ge3 0.557 0.018 0.453 1
Ge4 0.742 0.673 0.239 1
Ge5 0.827 0.419 0.827 1
O1 0.004 0.241 0.467 1
O2 0.022 0.504 0.756 1
O3 0.045 0.001 0.251 1
O4 0.064 0.741 0.965 1
O5 0.103 0.406 0.096 1
O6 0.184 0.575 0.251 1
O7 0.202 0.031 0.691 1
O8 0.219 0.176 0.900 1
O9 0.240 0.734 0.485 1
O10 0.327 0.357 0.578 1
O11 0.350 0.066 0.373 1
O12 0.355 0.915 0.166 1
O13 0.383 0.518 0.813 1
O14 0.466 0.684 0.971 1
O15 0.503 0.349 0.097 1
O16 0.521 0.087 0.807 1
O17 0.546 0.588 0.309 1
O18 0.560 0.837 0.612 1
O19 0.608 0.203 0.461 1
O20 0.693 0.017 0.306 1
O21 0.704 0.558 0.877 1
O22 0.718 0.415 0.667 1
O23 0.740 0.856 0.078 1
O24 0.830 0.234 0.986 1
O25 0.849 0.674 0.400 1
O26 0.865 0.532 0.190 1
O27 0.882 0.071 0.752 1
O28 0.967 0.906 0.593 1

=====

(16)
# PuPaTeAs (PBE-GGA, relaxed)
# Fermi-level density of states   13.35 states/eV/f.u.
# Distance to the lowest polymorph of the same formula   0.0 kJ per mole of atoms
data_PuPaTeAs
_chemical_formula_sum 'Pu3 Pa3 Te3 As3'
_space_group_name_H-M_alt 'R 3 m'
_space_group_IT_number 160
_space_group_name_Hall 'R 3 -2"'
_cell_length_a 4.1296
_cell_length_b 4.1296
_cell_length_c 22.2968
_cell_angle_alpha 90.00
_cell_angle_beta 90.00
_cell_angle_gamma 120.00
loop_
_atom_site_label
_atom_site_fract_x
_atom_site_fract_y
_atom_site_fract_z
_atom_site_occupancy
Pu1 0.0000 0.0000 0.0000 1
Pa1 0.0000 0.0000 0.1886 1
Te1 0.0000 0.0000 0.7638 1
As1 0.0000 0.0000 0.5926 1

=====

(17)
# Na2CdPbW (PBE-GGA, relaxed)
# Fermi-level density of states   3.16 states/eV/f.u.
# ΔH_f (0 K)   1.20 eV/atom
data_Na2CdPbW
_chemical_formula_sum 'Na2 Cd1 Pb1 W1'
_space_group_name_H-M_alt 'P 4/m m m'
_space_group_IT_number 123
_space_group_name_Hall '-P 4 2'
_cell_length_a 5.188
_cell_length_b 5.188
_cell_length_c 5.372
_cell_angle_alpha 90.00
_cell_angle_beta 90.00
_cell_angle_gamma 90.00
loop_
_atom_site_label
_atom_site_fract_x
_atom_site_fract_y
_atom_site_fract_z
_atom_site_occupancy
Na1 0.000 0.500 0.000 1
Cd1 0.000 0.000 0.000 1
Pb1 0.500 0.500 0.500 1
W1 0.000 0.000 0.500 1

=====

(18)
# CaAgBPt2 (PBE-GGA, relaxed)
# Fermi-level density of states   3.28 states/eV/f.u.
# ΔH_f (0 K)   -0.43 eV/atom
data_CaAgBPt2
_chemical_formula_sum 'Ca1 Ag1 B1 Pt2'
_space_group_name_H-M_alt 'P 4/m m m'
_space_group_IT_number 123
_space_group_name_Hall '-P 4 2'
_cell_length_a 4.291
_cell_length_b 4.291
_cell_length_c 4.565
_cell_angle_alpha 90.00
_cell_angle_beta 90.00
_cell_angle_gamma 90.00
loop_
_atom_site_label
_atom_site_fract_x
_atom_site_fract_y
_atom_site_fract_z
_atom_site_occupancy
Ca1 0.000 0.000 0.000 1
Ag1 0.500 0.500 0.000 1
B1 0.500 0.500 0.500 1
Pt1 0.000 0.500 0.500 1

=====

(19)
# AgSeBr2 (PBE-GGA, relaxed)
# Fermi-level density of states   3.65 states/eV/f.u.
# Distance to the lowest polymorph of the same formula   64.2 kJ per mole of atoms
data_AgSeBr2
_chemical_formula_sum 'Ag4 Se4 Br8'
_space_group_name_H-M_alt 'F -4 3 m'
_space_group_IT_number 216
_space_group_name_Hall 'F -4 2 3'
_cell_length_a 7.197
_cell_length_b 7.197
_cell_length_c 7.197
_cell_angle_alpha 90.00
_cell_angle_beta 90.00
_cell_angle_gamma 90.00
loop_
_atom_site_label
_atom_site_fract_x
_atom_site_fract_y
_atom_site_fract_z
_atom_site_occupancy
Ag1 0.000 0.000 0.000 1
Se1 0.250 0.250 0.250 1
Br1 0.000 0.000 0.500 1
Br2 0.250 0.250 0.750 1

=====

(20)
# Li2PaIn (PBE-GGA, relaxed)
# Fermi-level density of states   4.33 states/eV/f.u.
# Distance to the lowest polymorph of the same formula   0.0 kJ per mole of atoms
# ΔH_f (0 K)   0.16 eV/atom
data_Li2PaIn
_chemical_formula_sum 'Li6 Pa3 In3'
_space_group_name_H-M_alt 'R -3 m'
_space_group_IT_number 166
_space_group_name_Hall '-R 3 2"'
_cell_length_a 3.0632
_cell_length_b 3.0632
_cell_length_c 33.7450
_cell_angle_alpha 90.00
_cell_angle_beta 90.00
_cell_angle_gamma 120.00
loop_
_atom_site_label
_atom_site_fract_x
_atom_site_fract_y
_atom_site_fract_z
_atom_site_occupancy
Li1 0.0000 0.0000 0.0918 1
Pa1 0.0000 0.0000 0.0000 1
In1 0.0000 0.0000 0.5000 1